(1)
Computed, not measured: a geometry-optimized Cs2CuAg2 structure at the GGA-PBE level of DFT. Values from VASP.

- Symmetry: I4/mmm
- Energy above the lowest structure with this stoichiometry: 0 meV per atom

Quantum ESPRESSO input file:
```
&SYSTEM
  ibrav = 0, nat = 5, ntyp = 3
/
ATOMIC_SPECIES
Cs 132.91 Cs.upf
Cu 63.55 Cu.upf
Ag 107.87 Ag.upf
CELL_PARAMETERS angstrom
-3.566 3.566 3.982
3.566 -3.566 3.982
3.566 3.566 -3.982
ATOMIC_POSITIONS crystal
Cs 0.250 0.750 0.500
Cs 0.750 0.250 0.500
Cu 0.000 0.000 0.000
Ag 0.327 0.327 0.000
Ag 0.673 0.673 0.000
```



(2)
Computed, not measured: a geometry-optimized Cs2CuAg2 structure at the GGA-PBE level of DFT. Values from VASP.

- Symmetry: I4/mmm
- Energy above the lowest structure with this stoichiometry: 29 meV per atom

Quantum ESPRESSO input file:
```
&SYSTEM
  ibrav = 0, nat = 5, ntyp = 3
/
ATOMIC_SPECIES
Cs 132.91 Cs.upf
Cu 63.55 Cu.upf
Ag 107.87 Ag.upf
CELL_PARAMETERS angstrom
-2.023 2.023 10.910
2.023 -2.023 10.910
2.023 2.023 -10.910
ATOMIC_POSITIONS crystal
Cs 0.105 0.105 0.000
Cs 0.895 0.895 0.000
Cu 0.500 0.500 0.000
Ag 0.250 0.750 0.500
Ag 0.750 0.250 0.500
```



(3)
Computed, not measured: a geometry-optimized CsCuAg2 structure at the GGA-PBE level of DFT. Values from VASP.

- Symmetry: I4_1/amd
- Energy above the lowest structure with this stoichiometry: 88 meV per atom

Quantum ESPRESSO input file:
```
&SYSTEM
  ibrav = 0, nat = 8, ntyp = 3
/
ATOMIC_SPECIES
Cs 132.91 Cs.upf
Cu 63.55 Cu.upf
Ag 107.87 Ag.upf
CELL_PARAMETERS angstrom
-2.760 2.760 8.825
2.760 -2.760 8.825
2.760 2.760 -8.825
ATOMIC_POSITIONS crystal
Cs 0.375 0.625 0.750
Cs 0.625 0.375 0.250
Cu 0.125 0.875 0.250
Cu 0.875 0.125 0.750
Ag 0.000 0.000 0.000
Ag 0.000 0.000 0.500
Ag 0.000 0.500 0.000
Ag 0.500 0.000 0.500
```



(4)
Computed, not measured: a geometry-optimized Cs2Cu2Ag structure at the GGA-PBE level of DFT. Values from VASP.

- Symmetry: P4/mbm
- Energy above the lowest structure with this stoichiometry: 76 meV per atom

Quantum ESPRESSO input file:
```
&SYSTEM
  ibrav = 0, nat = 10, ntyp = 3
/
ATOMIC_SPECIES
Cs 132.91 Cs.upf
Cu 63.55 Cu.upf
Ag 107.87 Ag.upf
CELL_PARAMETERS angstrom
7.460 0.000 0.000
0.000 7.460 0.000
0.000 0.000 5.557
ATOMIC_POSITIONS crystal
Cs 0.185 0.315 0.000
Cs 0.315 0.815 0.000
Cs 0.685 0.185 0.000
Cs 0.815 0.685 0.000
Cu 0.117 0.617 0.500
Cu 0.383 0.117 0.500
Cu 0.617 0.883 0.500
Cu 0.883 0.383 0.500
Ag 0.000 0.000 0.500
Ag 0.500 0.500 0.500
```



(5)
Computed, not measured: a geometry-optimized CsCuAg2 structure at the GGA-PBE level of DFT. Values from VASP.

- Symmetry: Fm-3m
- Energy above the lowest structure with this stoichiometry: 626 meV per atom

Quantum ESPRESSO input file:
```
&SYSTEM
  ibrav = 0, nat = 4, ntyp = 3
/
ATOMIC_SPECIES
Cs 132.91 Cs.upf
Cu 63.55 Cu.upf
Ag 107.87 Ag.upf
CELL_PARAMETERS angstrom
0.000 3.838 3.838
3.838 0.000 3.838
3.838 3.838 0.000
ATOMIC_POSITIONS crystal
Cs 0.000 0.000 0.000
Cu 0.500 0.500 0.500
Ag 0.250 0.250 0.250
Ag 0.750 0.750 0.750
```



(6)
Computed, not measured: a geometry-optimized Cs2CuAg structure at the GGA-PBE level of DFT. Values from VASP.

- Symmetry: I-42d
- Energy above the lowest structure with this stoichiometry: 93 meV per atom

Quantum ESPRESSO input file:
```
&SYSTEM
  ibrav = 0, nat = 8, ntyp = 3
/
ATOMIC_SPECIES
Cs 132.91 Cs.upf
Cu 63.55 Cu.upf
Ag 107.87 Ag.upf
CELL_PARAMETERS angstrom
-4.811 4.811 4.941
4.811 -4.811 4.941
4.811 4.811 -4.941
ATOMIC_POSITIONS crystal
Cs 0.112 0.125 0.487
Cs 0.375 0.888 0.013
Cs 0.638 0.625 0.513
Cs 0.875 0.362 0.987
Cu 0.000 0.000 0.000
Cu 0.750 0.250 0.500
Ag 0.250 0.750 0.500
Ag 0.500 0.500 0.000
```